## Te2PO6 (PBE)

Data for a relaxed Te2PO6 crystal.

Unit cell a=10.231 b=9.241 c=8.012 alpha=90.00 beta=117.38 gamma=90.00
Space group C2/c (No. 15)
Symmetry-distinct sites (fractional):
Te1 0.126 0.239 0.190 (multiplicity 8)
P1 0.000 0.087 0.750 (multiplicity 4)
O1 0.088 0.257 0.422 (multiplicity 8)
O2 0.096 0.189 0.917 (multiplicity 8)
O3 0.107 0.005 0.204 (multiplicity 8)

Properties
energy relative to the elements, uncorrected = -1.28 eV per atom
energy = -5.89 eV/atom
theoretical density = 3.774 Mg/m³
density of states at the Fermi level = 2.057 states/eV per cell